<i>
! PBE Cu2PtAu2, relaxed; values from VASP
&SYSTEM
  ibrav = 0, nat = 10, ntyp = 3
/
ATOMIC_SPECIES
Cu 63.55 Cu.upf
Pt 195.08 Pt.upf
Au 196.97 Au.upf
ATOMIC_POSITIONS angstrom
Cu 1.2075 2.4988 0.0000
Cu 2.4988 6.2051 0.0000
Cu 4.9139 1.2075 0.0000
Cu 6.2051 4.9139 0.0000
Pt 0.0000 0.0000 1.4383
Pt 3.7063 3.7063 1.4383
Au 1.0110 4.7173 1.4383
Au 2.6953 1.0110 1.4383
Au 4.7173 6.4017 1.4383
Au 6.4017 2.6953 1.4383
CELL_PARAMETERS angstrom
7.4127 0.0000 0.0000
0.0000 7.4127 0.0000
0.0000 0.0000 2.8766
! * volume: 15.81 Å³ per atom
! * density of states at the Fermi level: 3.9 states/eV/cell

---

<ii>
! PBE Cu2PtAu2, relaxed; values from VASP
&SYSTEM
  ibrav = 0, nat = 10, ntyp = 3
/
ATOMIC_SPECIES
Cu 63.55 Cu.upf
Pt 195.08 Pt.upf
Au 196.97 Au.upf
ATOMIC_POSITIONS angstrom
Cu -0.0849 0.0000 1.1972
Cu 5.1925 0.0000 0.5687
Cu 5.1123 0.0000 5.3016
Cu 10.3897 0.0000 4.6731
Pt -0.1884 0.0000 3.7801
Pt 10.4932 0.0000 2.0902
Au 2.5000 0.0000 0.7385
Au 2.7563 0.0000 3.6191
Au 7.5485 0.0000 2.2512
Au 7.8048 0.0000 5.1318
CELL_PARAMETERS angstrom
6.4676 -2.0764 0.0000
6.4676 2.0764 0.0000
-2.6304 0.0000 5.8703
! * volume: 15.77 Å³ per atom
! * density of states at the Fermi level: 3.7 states/eV/cell

---

Energetically preferred structure: <ii> | next structure: +62 meV/atom

---

<i>
! PBE CuPtAu, relaxed; values from VASP
&SYSTEM
  ibrav = 0, nat = 18, ntyp = 3
/
ATOMIC_SPECIES
Cu 63.55 Cu.upf
Pt 195.08 Pt.upf
Au 196.97 Au.upf
ATOMIC_POSITIONS angstrom
Cu -1.2515 2.1676 4.6119
Cu -1.2515 2.1676 13.7579
Cu 2.5029 0.0000 4.5730
Cu 2.5029 0.0000 9.2044
Cu 1.2515 2.1676 0.0195
Cu 1.2515 2.1676 9.1654
Pt -0.0374 2.8685 2.2962
Pt 0.0374 2.8685 11.4811
Pt 0.0000 2.9334 6.8887
Pt 2.5029 1.4019 6.8887
Pt 2.4655 1.4667 11.4811
Pt 2.5404 1.4667 2.2962
Au 0.0000 0.0000 2.2962
Au 0.0000 0.0000 6.8887
Au 0.0000 0.0000 11.4811
Au -1.2515 2.1676 9.1849
Au 2.5029 0.0000 0.0000
Au 1.2515 2.1676 4.5924
CELL_PARAMETERS angstrom
5.0059 0.0000 0.0000
-2.5029 4.3352 0.0000
0.0000 0.0000 13.7773
! * volume: 16.61 Å³ per atom
! * density of states at the Fermi level: 6.7 states/eV/cell

---

<ii>
! PBE CuPtAu, relaxed; values from VASP
&SYSTEM
  ibrav = 0, nat = 3, ntyp = 3
/
ATOMIC_SPECIES
Cu 63.55 Cu.upf
Pt 195.08 Pt.upf
Au 196.97 Au.upf
ATOMIC_POSITIONS angstrom
Cu 0.0000 0.0000 0.0000
Pt 1.4769 1.4769 1.4769
Au 4.4306 4.4306 4.4306
CELL_PARAMETERS angstrom
0.0000 2.9537 2.9537
2.9537 0.0000 2.9537
2.9537 2.9537 0.0000
! * volume: 17.18 Å³ per atom
! * density of states at the Fermi level: 1.4 states/eV/cell

---

Energetically preferred structure: <i> | next structure: +116 meV/atom

---

<i>
! PBE CuPtAu, relaxed; values from VASP
&SYSTEM
  ibrav = 0, nat = 3, ntyp = 3
/
ATOMIC_SPECIES
Cu 63.55 Cu.upf
Pt 195.08 Pt.upf
Au 196.97 Au.upf
ATOMIC_POSITIONS angstrom
Cu 0.0000 0.0000 0.0000
Pt 0.0000 0.0000 3.8881
Au 0.0000 0.0000 7.3810
CELL_PARAMETERS angstrom
-1.4325 1.4325 5.5692
1.4325 -1.4325 5.5692
1.4325 1.4325 -5.5692
! * volume: 15.24 Å³ per atom
! * density of states at the Fermi level: 1.6 states/eV/cell

---

<ii>
! PBE CuPtAu, relaxed; values from VASP
&SYSTEM
  ibrav = 0, nat = 3, ntyp = 3
/
ATOMIC_SPECIES
Cu 63.55 Cu.upf
Pt 195.08 Pt.upf
Au 196.97 Au.upf
ATOMIC_POSITIONS angstrom
Cu 0.0000 0.0000 0.0000
Pt 0.0000 0.0000 5.7085
Au 0.0000 0.0000 2.9213
CELL_PARAMETERS angstrom
-1.4154 1.8594 4.3907
1.4154 -1.8594 4.3907
1.4154 1.8594 -4.3907
! * volume: 15.41 Å³ per atom
! * density of states at the Fermi level: 1.3 states/eV/cell

---

<iii>
! PBE CuPtAu, relaxed; values from VASP
&SYSTEM
  ibrav = 0, nat = 6, ntyp = 3
/
ATOMIC_SPECIES
Cu 63.55 Cu.upf
Pt 195.08 Pt.upf
Au 196.97 Au.upf
ATOMIC_POSITIONS angstrom
Cu 0.0055 1.0093 1.0722
Cu 1.9187 3.0278 4.9298
Pt 0.0104 3.0278 3.0370
Pt 1.9138 1.0093 2.9650
Au 0.0136 1.0093 5.0466
Au 1.9106 3.0278 0.9554
CELL_PARAMETERS angstrom
3.8097 0.0000 0.0000
0.0000 4.0371 0.0000
-1.8855 0.0000 6.0020
! * volume: 15.39 Å³ per atom
! * density of states at the Fermi level: 3.7 states/eV/cell

---

Energetically preferred structure: <i> | next structure: +14 meV/atom

---

<i>
! PBE CuPtAu, relaxed; values from VASP
&SYSTEM
  ibrav = 0, nat = 3, ntyp = 3
/
ATOMIC_SPECIES
Cu 63.55 Cu.upf
Pt 195.08 Pt.upf
Au 196.97 Au.upf
ATOMIC_POSITIONS angstrom
Cu 0.0000 0.0000 0.0000
Pt 0.0000 1.6240 2.0862
Au 1.4065 0.8120 4.5673
CELL_PARAMETERS angstrom
2.8129 0.0000 0.0000
-1.4065 2.4361 0.0000
0.0000 0.0000 6.7514
! * volume: 15.42 Å³ per atom
! * density of states at the Fermi level: 1.6 states/eV/cell

---

<ii>
! PBE CuPtAu, relaxed; values from VASP
&SYSTEM
  ibrav = 0, nat = 3, ntyp = 3
/
ATOMIC_SPECIES
Cu 63.55 Cu.upf
Pt 195.08 Pt.upf
Au 196.97 Au.upf
ATOMIC_POSITIONS angstrom
Cu 0.0000 0.0000 0.0000
Pt 0.7652 1.3741 3.7452
Au 2.9406 1.3741 1.9375
CELL_PARAMETERS angstrom
4.2461 0.0000 0.0000
0.0000 2.7482 0.0000
-1.3201 0.0000 4.3916
! * volume: 17.08 Å³ per atom
! * density of states at the Fermi level: 1.9 states/eV/cell

---

<iii>
! PBE CuPtAu, relaxed; values from VASP
&SYSTEM
  ibrav = 0, nat = 3, ntyp = 3
/
ATOMIC_SPECIES
Cu 63.55 Cu.upf
Pt 195.08 Pt.upf
Au 196.97 Au.upf
ATOMIC_POSITIONS angstrom
Cu 0.0000 0.0000 0.0000
Pt 1.4265 2.3668 9.0844
Au 1.4265 2.3668 4.7006
CELL_PARAMETERS angstrom
0.0000 2.3668 6.9253
1.4265 0.0000 6.9253
1.4265 2.3668 0.0000
! * volume: 15.59 Å³ per atom
! * density of states at the Fermi level: 1.6 states/eV/cell

---

Energetically preferred structure: <i> | next structure: +48 meV/atom

---

<i>
! PBE Cu3PtAu3, relaxed; values from VASP
&SYSTEM
  ibrav = 0, nat = 14, ntyp = 3
/
ATOMIC_SPECIES
Cu 63.55 Cu.upf
Pt 195.08 Pt.upf
Au 196.97 Au.upf
ATOMIC_POSITIONS angstrom
Cu 3.6457 2.1951 0.0000
Cu 3.6457 2.0366 3.8483
Cu 2.0290 0.0000 3.8483
Cu 5.2624 0.0000 3.8483
Cu 3.6457 -2.0366 3.8483
Cu 3.6457 -2.1951 0.0000
Pt 2.2025 0.0000 0.0000
Pt 5.0889 0.0000 0.0000
Au 0.0000 0.0000 1.9624
Au 0.0000 0.0000 5.7341
Au 1.8229 2.0344 1.9858
Au 1.8229 2.0344 5.7107
Au 1.8229 -2.0344 1.9858
Au 1.8229 -2.0344 5.7107
CELL_PARAMETERS angstrom
3.6457 -4.0688 0.0000
3.6457 4.0688 0.0000
0.0000 0.0000 7.6965
! * volume: 16.31 Å³ per atom
! * density of states at the Fermi level: 4.1 states/eV/cell

---

<ii>
! PBE Cu3PtAu3, relaxed; values from VASP
&SYSTEM
  ibrav = 0, nat = 14, ntyp = 3
/
ATOMIC_SPECIES
Cu 63.55 Cu.upf
Pt 195.08 Pt.upf
Au 196.97 Au.upf
ATOMIC_POSITIONS angstrom
Cu -1.0446 -1.1550 5.6656
Cu -1.5226 0.3272 7.9048
Cu -0.4780 1.4822 5.6656
Cu 0.4780 -1.4822 7.9048
Cu 1.5226 -0.3272 5.6656
Cu 1.0446 1.1550 7.9048
Pt 0.0000 0.0000 3.5435
Pt 0.0000 0.0000 10.0270
Au -3.0327 0.5913 5.6869
Au -2.0284 -2.3307 7.8835
Au 1.0043 -2.9220 5.6869
Au -1.0043 2.9220 7.8835
Au 2.0284 2.3307 5.6869
Au 3.0327 -0.5913 7.8835
CELL_PARAMETERS angstrom
3.6927 2.1320 4.5235
-3.6927 2.1320 4.5235
0.0000 -4.2639 4.5235
! * volume: 15.26 Å³ per atom
! * density of states at the Fermi level: 4.8 states/eV/cell

---

Energetically preferred structure: <ii> | next structure: +110 meV/atom

---

<i>
! PBE CuPt2Au2, relaxed; values from VASP
&SYSTEM
  ibrav = 0, nat = 10, ntyp = 3
/
ATOMIC_SPECIES
Cu 63.55 Cu.upf
Pt 195.08 Pt.upf
Au 196.97 Au.upf
ATOMIC_POSITIONS angstrom
Cu 0.0000 0.0000 0.0000
Cu 3.3109 3.3109 0.0000
Pt 0.9471 2.3638 0.0000
Pt 2.3638 5.6747 0.0000
Pt 4.2580 0.9471 0.0000
Pt 5.6747 4.2580 0.0000
Au 1.0724 4.3833 1.9829
Au 2.2386 1.0724 1.9829
Au 4.3833 5.5495 1.9829
Au 5.5495 2.2386 1.9829
CELL_PARAMETERS angstrom
6.6218 0.0000 0.0000
0.0000 6.6218 0.0000
0.0000 0.0000 3.9657
! * volume: 17.39 Å³ per atom
! * density of states at the Fermi level: 13.5 states/eV/cell

---

<ii>
! PBE CuPt2Au2, relaxed; values from VASP
&SYSTEM
  ibrav = 0, nat = 5, ntyp = 3
/
ATOMIC_SPECIES
Cu 63.55 Cu.upf
Pt 195.08 Pt.upf
Au 196.97 Au.upf
ATOMIC_POSITIONS angstrom
Cu 0.0000 0.0000 0.0000
Pt 2.5469 0.0000 1.9376
Pt 0.0000 2.5469 1.9376
Au 0.0000 0.0000 2.5463
Au 0.0000 0.0000 5.2042
CELL_PARAMETERS angstrom
-2.5469 2.5469 3.8752
2.5469 -2.5469 3.8752
2.5469 2.5469 -3.8752
! * volume: 20.11 Å³ per atom
! * density of states at the Fermi level: 4.5 states/eV/cell

---

<iii>
! PBE CuPt2Au2, relaxed; values from VASP
&SYSTEM
  ibrav = 0, nat = 5, ntyp = 3
/
ATOMIC_SPECIES
Cu 63.55 Cu.upf
Pt 195.08 Pt.upf
Au 196.97 Au.upf
ATOMIC_POSITIONS angstrom
Cu 0.0000 0.0000 0.0000
Pt 0.0000 2.4875 4.8405
Pt 2.1542 1.2438 0.7054
Au 0.0000 2.4875 2.0671
Au 2.1542 1.2438 3.4788
CELL_PARAMETERS angstrom
4.3085 0.0000 0.0000
-2.1542 3.7313 0.0000
0.0000 0.0000 5.5459
! * volume: 17.83 Å³ per atom
! * density of states at the Fermi level: 8.8 states/eV/cell

---

Energetically preferred structure: <iii> | next structure: +57 meV/atom

---

<i>
! PBE Cu2Pt2Au, relaxed; values from VASP
&SYSTEM
  ibrav = 0, nat = 5, ntyp = 3
/
ATOMIC_SPECIES
Cu 63.55 Cu.upf
Pt 195.08 Pt.upf
Au 196.97 Au.upf
ATOMIC_POSITIONS angstrom
Cu 1.7518 0.0000 3.2509
Cu 0.0000 1.7518 3.2509
Pt 0.0000 0.0000 1.3755
Pt 0.0000 0.0000 11.6282
Au 0.0000 0.0000 6.5018
CELL_PARAMETERS angstrom
-1.7518 1.7518 6.5018
1.7518 -1.7518 6.5018
1.7518 1.7518 -6.5018
! * volume: 15.96 Å³ per atom
! * density of states at the Fermi level: 2.5 states/eV/cell

---

<ii>
! PBE Cu2Pt2Au, relaxed; values from VASP
&SYSTEM
  ibrav = 0, nat = 10, ntyp = 3
/
ATOMIC_SPECIES
Cu 63.55 Cu.upf
Pt 195.08 Pt.upf
Au 196.97 Au.upf
ATOMIC_POSITIONS angstrom
Cu 1.2201 2.4735 0.0000
Cu 2.4735 6.1671 0.0000
Cu 4.9137 1.2201 0.0000
Cu 6.1671 4.9137 0.0000
Pt 0.9784 4.6719 1.4037
Pt 2.7152 0.9784 1.4037
Pt 4.6719 6.4088 1.4037
Pt 6.4088 2.7152 1.4037
Au 0.0000 0.0000 1.4037
Au 3.6936 3.6936 1.4037
CELL_PARAMETERS angstrom
7.3872 0.0000 0.0000
0.0000 7.3872 0.0000
0.0000 0.0000 2.8073
! * volume: 15.32 Å³ per atom
! * density of states at the Fermi level: 7.4 states/eV/cell

---

Energetically preferred structure: <ii> | next structure: +193 meV/atom

---

<i>
! PBE Cu2Pt2Au, relaxed; values from VASP
&SYSTEM
  ibrav = 0, nat = 5, ntyp = 3
/
ATOMIC_SPECIES
Cu 63.55 Cu.upf
Pt 195.08 Pt.upf
Au 196.97 Au.upf
ATOMIC_POSITIONS angstrom
Cu 0.0000 0.0000 1.1728
Cu 0.0000 0.0000 10.8726
Pt 1.8422 0.0000 3.0114
Pt 0.0000 1.8422 3.0114
Au 0.0000 0.0000 6.0227
CELL_PARAMETERS angstrom
-1.8422 1.8422 6.0227
1.8422 -1.8422 6.0227
1.8422 1.8422 -6.0227
! * volume: 16.35 Å³ per atom
! * density of states at the Fermi level: 3.1 states/eV/cell

---

<ii>
! PBE Cu2Pt2Au, relaxed; values from VASP
&SYSTEM
  ibrav = 0, nat = 5, ntyp = 3
/
ATOMIC_SPECIES
Cu 63.55 Cu.upf
Pt 195.08 Pt.upf
Au 196.97 Au.upf
ATOMIC_POSITIONS angstrom
Cu 1.3816 7.8571 0.0000
Cu 1.3816 -7.8571 0.0000
Pt 1.3816 3.7324 1.3886
Pt 1.3816 -3.7324 1.3886
Au 1.3816 0.0000 1.3886
CELL_PARAMETERS angstrom
1.3816 -9.7934 0.0000
1.3816 9.7934 0.0000
0.0000 0.0000 2.7772
! * volume: 15.03 Å³ per atom
! * density of states at the Fermi level: 3.2 states/eV/cell

---

Energetically preferred structure: <ii> | next structure: +254 meV/atom

---

<i>
! PBE Cu5PtAu6, relaxed; values from VASP
&SYSTEM
  ibrav = 0, nat = 12, ntyp = 3
/
ATOMIC_SPECIES
Cu 63.55 Cu.upf
Pt 195.08 Pt.upf
Au 196.97 Au.upf
ATOMIC_POSITIONS angstrom
Cu 0.0000 0.0000 0.0000
Cu 2.0413 0.0000 2.0952
Cu 0.0000 0.0000 4.1243
Cu 0.0000 0.0000 7.9986
Cu 0.0000 3.7365 3.9662
Pt 0.0000 3.7365 0.0000
Au 2.0413 -1.9465 4.0139
Au 2.0413 1.7478 0.0000
Au 0.0000 1.7901 2.0476
Au 2.0413 1.9465 4.0139
Au 0.0000 1.9887 6.0614
Au 0.0000 5.6830 2.0476
CELL_PARAMETERS angstrom
-2.0413 3.7365 6.0614
2.0413 -3.7365 6.0614
2.0413 3.7365 -6.0614
! * volume: 15.41 Å³ per atom
! * density of states at the Fermi level: 3.1 states/eV/cell

---

<ii>
! PBE Cu5PtAu6, relaxed; values from VASP
&SYSTEM
  ibrav = 0, nat = 12, ntyp = 3
/
ATOMIC_SPECIES
Cu 63.55 Cu.upf
Pt 195.08 Pt.upf
Au 196.97 Au.upf
ATOMIC_POSITIONS angstrom
Cu 0.0000 0.0000 0.0000
Cu 4.0103 2.7496 2.4201
Cu 4.4969 1.3475 0.0000
Cu 4.4969 -1.3475 0.0000
Cu 4.0103 -2.7496 2.4201
Pt 4.0103 0.0000 2.4201
Au 1.9243 1.4512 1.1798
Au 1.4057 0.0000 3.5966
Au 1.9243 -1.4512 1.1798
Au 6.0963 1.4512 3.6604
Au 6.6149 0.0000 1.2436
Au 6.0963 -1.4512 3.6604
CELL_PARAMETERS angstrom
4.4969 -4.3093 0.0000
4.4969 4.3093 0.0000
-0.9732 0.0000 4.8402
! * volume: 15.63 Å³ per atom
! * density of states at the Fermi level: 4.1 states/eV/cell

---

Energetically preferred structure: <i> | next structure: +49 meV/atom

---

<i>
! PBE Cu7PtAu3, relaxed; values from VASP
&SYSTEM
  ibrav = 0, nat = 11, ntyp = 3
/
ATOMIC_SPECIES
Cu 63.55 Cu.upf
Pt 195.08 Pt.upf
Au 196.97 Au.upf
ATOMIC_POSITIONS angstrom
Cu 0.0000 0.0000 0.0000
Cu 2.1930 2.3855 1.4069
Cu 0.9072 0.0000 3.4630
Cu 4.3736 2.3855 2.7267
Cu 2.1930 -2.3855 1.4069
Cu 5.6594 0.0000 0.6706
Cu 4.3736 -2.3855 2.7267
Pt -1.1802 0.0000 2.0668
Au 4.4635 2.1911 0.0000
Au 3.2833 0.0000 2.0668
Au 4.4635 -2.1911 0.0000
CELL_PARAMETERS angstrom
4.4635 -4.6872 0.0000
4.4635 4.6872 0.0000
-2.3605 0.0000 4.1336
! * volume: 15.72 Å³ per atom
! * density of states at the Fermi level: 3.1 states/eV/cell

---

<ii>
! PBE Cu7PtAu3, relaxed; values from VASP
&SYSTEM
  ibrav = 0, nat = 22, ntyp = 3
/
ATOMIC_SPECIES
Cu 63.55 Cu.upf
Pt 195.08 Pt.upf
Au 196.97 Au.upf
ATOMIC_POSITIONS angstrom
Cu 1.3761 9.3684 7.0518
Cu 1.3761 9.3684 11.0694
Cu 1.3761 8.1670 1.2877
Cu 1.3761 8.1670 4.7527
Cu 1.3761 7.8885 9.0606
Cu 1.3761 5.5674 0.9505
Cu 1.3761 5.5674 5.0899
Cu 1.3761 -5.5674 6.9909
Cu 1.3761 -5.5674 11.1303
Cu 1.3761 -7.8885 3.0202
Cu 1.3761 -8.1670 7.3281
Cu 1.3761 -8.1670 10.7931
Cu 1.3761 -9.3684 1.0114
Cu 1.3761 -9.3684 5.0290
Pt 1.3761 0.3380 9.0606
Pt 1.3761 -0.3380 3.0202
Au 1.3761 3.4929 9.0606
Au 1.3761 2.9554 0.8497
Au 1.3761 2.9554 5.1907
Au 1.3761 -2.9554 6.8901
Au 1.3761 -2.9554 11.2311
Au 1.3761 -3.4929 3.0202
CELL_PARAMETERS angstrom
1.3761 -10.0163 0.0000
1.3761 10.0163 0.0000
0.0000 0.0000 12.0808
! * volume: 15.14 Å³ per atom
! * density of states at the Fermi level: 11.1 states/eV/cell

---

Energetically preferred structure: <ii> | next structure: +119 meV/atom